Entry 1:
Material: AcB6Mo2
Method: DFT, PBE-GGA
State: relaxed

Cell and atoms, written as POSCAR:
```
AcB6Mo2
1.0
-1.618 3.551 4.354
1.618 -3.551 4.354
1.618 3.551 -4.354
Ac B Mo
1 6 2
direct
0.000 0.000 0.000
0.070 0.305 0.765
0.350 0.500 0.850
0.460 0.695 0.765
0.540 0.305 0.235
0.650 0.500 0.150
0.930 0.695 0.235
0.344 0.844 0.500
0.656 0.156 0.500
```

Results
Volume (Å³/f.u.): 100.0
Energy relative to the elements (eV per atom): -0.403
Energy (eV per formula unit): -69.5
DOS at the Fermi energy (states/eV per atom): 0.3221



Entry 2:
Material: AcB4Mo
Method: DFT, PBE-GGA
State: relaxed

Cell and atoms, written as POSCAR:
```
AcB4Mo
1.0
6.295 0.000 0.000
0.000 12.245 0.000
0.000 0.000 3.842
Ac B Mo
4 16 4
direct
0.122 0.152 0.000
0.378 0.652 0.000
0.622 0.348 0.000
0.878 0.848 0.000
0.021 0.683 0.500
0.110 0.544 0.500
0.146 0.967 0.500
0.231 0.823 0.500
0.269 0.323 0.500
0.354 0.467 0.500
0.390 0.044 0.500
0.479 0.183 0.500
0.521 0.817 0.500
0.610 0.956 0.500
0.646 0.533 0.500
0.731 0.677 0.500
0.769 0.177 0.500
0.854 0.033 0.500
0.890 0.456 0.500
0.979 0.317 0.500
0.123 0.420 0.000
0.377 0.920 0.000
0.623 0.080 0.000
0.877 0.580 0.000
```

Results
Volume (Å³/f.u.): 74.0
Energy relative to the elements (eV per atom): -0.328
Energy (eV per formula unit): -43.6
DOS at the Fermi energy (states/eV per atom): 0.0365



Entry 3:
Material: Ac3B2MoN6
Method: DFT, PBE-GGA
State: relaxed

Cell and atoms, written as POSCAR:
```
Ac3B2MoN6
1.0
5.563 0.000 0.000
-2.782 4.818 0.000
0.000 0.000 6.562
Ac B Mo N
3 2 1 6
direct
0.000 0.000 0.000
0.333 0.667 0.676
0.667 0.333 0.324
0.333 0.667 0.276
0.667 0.333 0.724
0.000 0.000 0.500
0.180 0.361 0.302
0.180 0.820 0.302
0.361 0.180 0.698
0.639 0.820 0.302
0.820 0.180 0.698
0.820 0.639 0.698
```

Results
Volume (Å³/f.u.): 175.9
Formation energy without anion corrections (eV per atom): -0.922
Energy (eV per formula unit): -97.5
DOS at the Fermi energy (states/eV per atom): 0.2823